(1)
A plane-wave DFT calculation with SCAN was carried out for AgTe2SeI at its PBEsol-relaxed geometry.

Output
formation energy from raw total energies	0.708	eV/atom

Cell and atoms, written as CIF:
```
data_AgTe2SeI
_chemical_formula_sum 'Ag1 Te2 Se1 I1'
_cell_length_a 5.2768
_cell_length_b 5.3542
_cell_length_c 5.3542
_cell_angle_alpha 90.00
_cell_angle_beta 90.00
_cell_angle_gamma 90.00
_symmetry_space_group_name_H-M 'P 1'
_symmetry_Int_Tables_number 1
loop_
_symmetry_equiv_pos_as_xyz
'x,y,z'
loop_
_atom_site_label
_atom_site_fract_x
_atom_site_fract_y
_atom_site_fract_z
I1 0.5000 0.0000 0.0000
Te1 0.0000 0.0000 0.5000
Te2 0.0000 0.5000 0.0000
Se1 0.5000 0.5000 0.5000
Ag1 0.0000 0.0000 0.0000
```

(2)
A plane-wave DFT calculation with SCAN was carried out for TaAgI3 at its PBEsol-relaxed geometry.

Output
formation energy from raw total energies	1.165	eV/atom

Cell and atoms, written as CIF:
```
data_TaAgI3
_chemical_formula_sum 'Ta1 Ag1 I3'
_cell_length_a 5.4474
_cell_length_b 5.4474
_cell_length_c 5.4474
_cell_angle_alpha 90.00
_cell_angle_beta 90.00
_cell_angle_gamma 90.00
_symmetry_space_group_name_H-M 'P 1'
_symmetry_Int_Tables_number 1
loop_
_symmetry_equiv_pos_as_xyz
'x,y,z'
loop_
_atom_site_label
_atom_site_fract_x
_atom_site_fract_y
_atom_site_fract_z
I1 0.0000 0.5000 0.0000
I2 0.0000 0.0000 0.5000
I3 0.5000 0.0000 0.0000
Ag1 0.0000 0.0000 0.0000
Ta1 0.5000 0.5000 0.5000
```